(1)
Below is a relaxed CdTc2Br crystal, with properties calculated at the GGA-PBEsol level.

Values from the calculation:
The uncorrected formation energy is 1.1863 eV per atom. The energy above the most stable polymorph in this dataset is 6.1 meV per atom. The calculation puts the total magnetic moment at 0.0 Bohr magnetons per cell. The value obtained for the total DFT energy (no corrections) is -20.9 eV per cell.

Cell and atoms, written as POSCAR:
```
CdTc2Br
1.0
3.887 0.000 0.000
0.000 3.887 0.000
-1.944 -1.944 4.459
Tc Br Cd
2 1 1
Cartesian
1.944 0.000 2.230
0.000 1.944 2.230
1.944 1.944 0.000
0.000 0.000 0.000
```



(2)
Below is a relaxed CdTeBr crystal, with properties calculated at the GGA-PBEsol level.

Values from the calculation:
The uncorrected formation energy is -0.1537 eV per atom. The energy above the most stable polymorph in this dataset is 84.5 meV per atom. The calculation puts the total magnetic moment at 0.0 Bohr magnetons per cell. The value obtained for the total DFT energy (no corrections) is -7.1 eV per cell.

Cell and atoms, written as POSCAR:
```
CdTeBr
1.0
3.424 0.000 0.000
0.000 3.424 0.000
-1.712 -1.712 6.831
Te Br Cd
1 1 1
Cartesian
0.000 0.000 4.207
0.000 0.000 0.487
1.712 1.712 2.138
```



(3)
Below is a relaxed CdTeBr2 crystal, with properties calculated at the GGA-PBEsol level.

Values from the calculation:
The uncorrected formation energy is 0.0953 eV per atom. The energy above the most stable polymorph in this dataset is 0.0 meV per atom. The calculation puts the total magnetic moment at 0.0 Bohr magnetons per cell. The value obtained for the total DFT energy (no corrections) is -8.1 eV per cell.

Cell and atoms, written as POSCAR:
```
CdTeBr2
1.0
-1.357 -3.137 0.408
3.151 -1.892 -4.072
3.007 -0.711 4.532
Te Br Cd
1 2 1
Cartesian
2.401 -2.870 0.434
1.576 -0.946 -2.036
1.503 -0.356 2.266
-0.678 -1.569 0.204
```



(4)
Below is a relaxed CdTeBr crystal, with properties calculated at the GGA-PBEsol level.

Values from the calculation:
The uncorrected formation energy is -0.2382 eV per atom. The energy above the most stable polymorph in this dataset is 0.0 meV per atom. The calculation puts the total magnetic moment at 0.0 Bohr magnetons per cell. The value obtained for the total DFT energy (no corrections) is -7.3 eV per cell.

Cell and atoms, written as POSCAR:
```
CdTeBr
1.0
-0.573 -1.309 3.241
0.686 -2.588 -2.318
6.983 2.499 1.006
Te Br Cd
1 1 1
Cartesian
2.788 -1.735 1.031
6.612 -1.436 1.828
4.790 0.374 0.998
```